## TaNb3Pt (PBE)

Data for TaNb3Pt after structural relaxation.

Cell and atoms, written as extended XYZ:
```
5
Lattice="4.822 0.000 0.000 0.000 4.822 0.000 0.000 0.000 4.822" Properties=species:S:1:pos:R:3 pbc="T T T"
Nb 2.411 0.000 0.000
Nb 0.000 2.411 0.000
Nb 0.000 0.000 2.411
Pt 2.411 2.411 2.411
Ta 0.000 0.000 0.000
```

Results
- Polymorph energy (0 for the lowest one): 35.569 kcal/mol of atoms
- DFT total energy: -8.147 eV per atom
- Magnetization: 0.000 μB/cell
- Formation enthalpy at 0 K: 1473 meV per atom
- SG: Pm-3m

## Ta5Nb4Pt (PBE)

Data for Ta5Nb4Pt after structural relaxation.

Cell and atoms, written as extended XYZ:
```
10
Lattice="3.321 0.000 0.000 0.000 3.321 0.000 0.000 0.000 16.266" Properties=species:S:1:pos:R:3 pbc="T T T"
Ta 1.660 1.660 4.801
Ta 1.660 1.660 1.588
Ta 1.660 1.660 14.678
Ta 1.660 1.660 8.133
Ta 1.660 1.660 11.465
Nb 0.000 0.000 3.176
Nb 0.000 0.000 6.489
Nb 0.000 0.000 13.090
Nb 0.000 0.000 9.777
Pt 0.000 0.000 0.000
```

Results
- DFT total energy: -10.707 eV per atom
- Magnetization: 0.000 μB/cell
- Formation enthalpy at 0 K: -149 meV per atom
- SG: P4/mmm

## Ta12Nb6Pt (PBE)

Data for Ta12Nb6Pt after structural relaxation.

Cell and atoms, written as extended XYZ:
```
19
Lattice="7.039 0.571 0.684 -0.503 7.045 0.684 -0.503 -0.586 7.053" Properties=species:S:1:pos:R:3 pbc="T T T"
Nb 0.311 5.108 2.477
Nb 5.722 1.921 5.944
Nb 1.460 0.539 5.469
Nb 5.002 2.244 1.507
Nb 1.031 4.785 6.914
Nb 4.574 6.491 2.952
Pt 0.000 0.000 0.000
Ta 0.153 0.851 2.832
Ta 2.304 5.641 4.516
Ta 3.729 1.388 3.905
Ta 5.226 3.884 3.889
Ta 0.818 2.736 0.782
Ta 5.215 4.293 7.639
Ta 0.807 3.145 4.532
Ta 3.046 2.798 6.357
Ta 2.580 0.551 1.343
Ta 2.987 4.231 2.064
Ta 5.880 6.178 5.589
Ta 3.453 6.478 7.077
```

Results
- DFT total energy: -10.891 eV per atom
- Magnetization: 0.000 μB/cell
- Formation enthalpy at 0 K: 93 meV per atom
- SG: R-3

## TaNb3Pt (PBE)

Data for TaNb3Pt after structural relaxation.

Cell and atoms, written as extended XYZ:
```
20
Lattice="4.893 0.000 0.000 0.000 5.556 0.000 0.000 0.000 13.263" Properties=species:S:1:pos:R:3 pbc="T T T"
Nb 3.481 5.554 4.753
Nb 1.034 2.776 8.510
Nb 3.859 2.780 4.753
Nb 1.223 4.167 0.638
Nb 3.481 0.002 1.879
Nb 1.412 5.554 11.384
Nb 1.412 0.002 8.510
Nb 3.859 2.776 1.879
Nb 3.670 4.167 7.270
Nb 1.223 1.389 5.993
Nb 3.670 1.389 12.624
Nb 1.034 2.780 11.384
Ta 1.480 2.778 3.316
Ta 3.413 2.778 9.947
Ta 3.927 0.000 9.947
Ta 0.966 0.000 3.316
Pt 1.223 1.389 0.775
Pt 1.223 4.167 5.856
Pt 3.670 1.389 7.407
Pt 3.670 4.167 12.488
```

Results
- Polymorph energy (0 for the lowest one): 0.000 kcal/mol of atoms
- DFT total energy: -9.690 eV per atom
- Magnetization: 0.000 μB/cell
- Formation enthalpy at 0 K: -69 meV per atom
- SG: Pnna

## TaNbPt2 (PBE)

Data for TaNbPt2 after structural relaxation.

Cell and atoms, written as extended XYZ:
```
4
Lattice="-0.721 2.735 0.001 -4.656 -1.229 1.344 2.899 0.763 4.001" Properties=species:S:1:pos:R:3 pbc="T T T"
Ta -1.239 1.135 2.673
Nb -0.361 1.368 0.001
Pt 1.450 0.381 2.001
Pt -2.328 -0.614 0.672
```

Results
- DFT total energy: -9.157 eV per atom
- Magnetization: 0.000 μB/cell
- Formation enthalpy at 0 K: -656 meV per atom
- SG: Cmmm

## Ta7Nb2Pt (PBE)

Data for Ta7Nb2Pt after structural relaxation.

Cell and atoms, written as extended XYZ:
```
10
Lattice="-2.185 -1.039 -1.604 -1.664 -7.282 6.982 -3.069 9.545 -2.003" Properties=species:S:1:pos:R:3 pbc="T T T"
Ta -2.208 1.550 -0.622
Ta -2.586 3.755 1.089
Ta -3.459 0.612 1.688
Ta -4.709 -0.326 3.998
Ta -1.941 -1.649 1.086
Ta -4.976 2.873 2.290
Ta -2.147 -1.492 3.891
Nb -3.858 5.397 -0.867
Nb -3.059 -4.173 4.243
Pt 0.000 0.000 0.000
```

Results
- DFT total energy: -10.367 eV per atom
- Magnetization: 0.000 μB/cell
- Formation enthalpy at 0 K: 548 meV per atom
- SG: Cmmm

## Ta2NbPt8 (PBE)

Data for Ta2NbPt8 after structural relaxation.

Cell and atoms, written as extended XYZ:
```
11
Lattice="-2.813 2.500 -1.433 -4.507 -3.062 3.506 4.096 4.076 4.727" Properties=species:S:1:pos:R:3 pbc="T T T"
Pt -0.101 0.916 1.797
Pt -0.365 2.526 5.124
Pt -2.858 0.987 1.676
Pt -3.122 2.597 5.004
Pt -3.077 -1.799 2.904
Pt 1.312 3.131 2.888
Pt -0.146 5.312 3.897
Pt -4.535 0.382 3.913
Nb -1.407 1.250 -0.716
Ta -1.777 0.321 4.050
Ta -1.446 3.192 2.751
```

Results
- DFT total energy: -8.130 eV per atom
- Magnetization: 0.000 μB/cell
- Formation enthalpy at 0 K: -666 meV per atom
- SG: C2/m

## TaNb8Pt2 (PBE)

Data for TaNb8Pt2 after structural relaxation.

Cell and atoms, written as extended XYZ:
```
11
Lattice="-1.722 3.305 2.886 -4.962 -4.950 2.708 4.594 -0.708 3.553" Properties=species:S:1:pos:R:3 pbc="T T T"
Nb -0.688 2.913 3.953
Nb -0.543 -0.805 8.296
Nb -1.702 -0.479 3.384
Nb -0.388 -1.874 5.763
Nb 1.098 0.264 4.203
Nb -1.402 -5.266 5.194
Nb -3.188 -2.617 4.943
Nb -1.547 -1.548 0.850
Pt 0.860 -2.143 2.969
Pt -2.950 -0.210 6.178
Ta -0.861 1.653 1.443
```

Results
- DFT total energy: -9.543 eV per atom
- Magnetization: 0.000 μB/cell
- Formation enthalpy at 0 K: -44 meV per atom
- SG: P2/m

## Ta3Nb3Pt2 (PBE)

Data for Ta3Nb3Pt2 after structural relaxation.

Cell and atoms, written as extended XYZ:
```
8
Lattice="-2.756 1.688 -3.403 1.690 -3.327 -3.019 -4.026 -3.073 4.972" Properties=species:S:1:pos:R:3 pbc="T T T"
Ta -0.533 -0.820 -3.211
Ta -2.503 -0.188 -1.302
Ta -2.589 -4.525 -0.148
Pt -2.739 -2.910 -2.461
Pt -2.353 -1.802 1.012
Nb 0.000 0.000 0.000
Nb -0.319 -2.576 -1.019
Nb -4.772 -2.136 -0.430
```

Results
- DFT total energy: -10.055 eV per atom
- Magnetization: 0.000 μB/cell
- Formation enthalpy at 0 K: -324 meV per atom
- SG: C2/m

## TaNb4Pt5 (PBE)

Data for TaNb4Pt5 after structural relaxation.

Cell and atoms, written as extended XYZ:
```
10
Lattice="-2.213 1.287 -1.212 0.201 -1.746 -2.221 -12.743 -13.224 9.238" Properties=species:S:1:pos:R:3 pbc="T T T"
Nb -7.646 -7.935 5.543
Nb -5.097 -5.289 3.695
Nb -2.549 -2.645 1.848
Nb -10.194 -10.579 7.390
Pt -9.927 -9.487 4.750
Pt -2.266 -1.537 -0.803
Pt -4.828 -4.196 1.054
Pt -7.377 -6.841 2.902
Pt -12.489 -12.146 6.608
Ta 0.000 0.000 0.000
```

Results
- DFT total energy: -8.898 eV per atom
- Magnetization: 0.000 μB/cell
- Formation enthalpy at 0 K: -665 meV per atom
- SG: P4/mmm

## TaNbPt6 (PBE)

Data for TaNbPt6 after structural relaxation.

Cell and atoms, written as extended XYZ:
```
8
Lattice="-2.220 -3.307 -0.394 1.390 -0.490 -3.722 6.054 -4.403 2.841" Properties=species:S:1:pos:R:3 pbc="T T T"
Pt 2.192 -1.333 -1.158
Pt 0.387 -2.742 0.505
Pt -0.415 -1.899 -2.058
Pt 3.447 -4.968 1.942
Pt 2.612 -4.100 -0.637
Pt 5.253 -3.559 0.278
Nb 3.027 -2.201 1.421
Ta 0.000 0.000 0.000
```

Results
- DFT total energy: -7.812 eV per atom
- Magnetization: 1.098 μB/cell
- Formation enthalpy at 0 K: -541 meV per atom
- SG: P4/mmm

## Ta2Nb6Pt (PBE)

Data for Ta2Nb6Pt after structural relaxation.

Cell and atoms, written as extended XYZ:
```
9
Lattice="-1.788 3.787 -2.278 -5.210 -0.064 -0.560 -3.320 3.394 5.977" Properties=species:S:1:pos:R:3 pbc="T T T"
Pt -1.660 1.697 2.989
Nb -5.141 5.947 2.946
Nb -4.674 3.710 -1.140
Nb -5.176 1.170 0.193
Nb -6.320 4.180 1.097
Nb -5.643 3.407 4.279
Nb -3.997 2.937 2.043
Ta -7.997 4.644 3.330
Ta -2.321 2.473 -0.191
```

Results
- Polymorph energy (0 for the lowest one): 0.000 kcal/mol of atoms
- DFT total energy: -10.055 eV per atom
- Magnetization: 0.000 μB/cell
- Formation enthalpy at 0 K: -36 meV per atom
- SG: C2/m

What did the tenth record say?
## TaNb4Pt5 (PBE)

Data for TaNb4Pt5 after structural relaxation.

Cell and atoms, written as extended XYZ:
```
10
Lattice="-2.213 1.287 -1.212 0.201 -1.746 -2.221 -12.743 -13.224 9.238" Properties=species:S:1:pos:R:3 pbc="T T T"
Nb -7.646 -7.935 5.543
Nb -5.097 -5.289 3.695
Nb -2.549 -2.645 1.848
Nb -10.194 -10.579 7.390
Pt -9.927 -9.487 4.750
Pt -2.266 -1.537 -0.803
Pt -4.828 -4.196 1.054
Pt -7.377 -6.841 2.902
Pt -12.489 -12.146 6.608
Ta 0.000 0.000 0.000
```

Results
- DFT total energy: -8.898 eV per atom
- Magnetization: 0.000 μB/cell
- Formation enthalpy at 0 K: -665 meV per atom
- SG: P4/mmm

What is the formation enthalpy at 0 K in the tenth record? -665 meV per atom